! Tm6Zn2Ag PBE relaxed; values from VASP
&SYSTEM
  ibrav = 0, nat = 18, ntyp = 3
/
ATOMIC_SPECIES
Ag 107.87 Ag.upf
Tm 168.93 Tm.upf
Zn 65.41 Zn.upf
CELL_PARAMETERS angstrom
7.870 0.244 -2.928
-3.996 6.936 -2.547
-0.141 -0.244 8.396
ATOMIC_POSITIONS crystal
Ag 0.000 0.500 0.500
Tm 0.717 0.395 0.678
Tm 0.802 0.249 0.051
Zn 0.500 0.373 0.873
Zn 0.500 0.627 0.127
Ag 0.000 0.000 0.000
Zn 0.637 0.000 0.637
Tm 0.088 0.267 0.821
Tm 0.283 0.605 0.322
Tm 0.283 0.961 0.678
Tm 0.717 0.039 0.322
Tm 0.198 0.249 0.448
Tm 0.446 0.267 0.179
Zn 0.363 0.000 0.363
Tm 0.554 0.733 0.821
Tm 0.198 0.751 0.949
Tm 0.912 0.733 0.179
Tm 0.802 0.751 0.552
! Formation energy, eV/atom: -0.1903
! Total magnetization, μB per formula unit: 0.00
! Total DFT energy (no corrections), eV per cell: -67.883